# Sm3Sn3Pd2Pt

A relaxed structure of Sm3Sn3Pd2Pt (GGA-PBE, the Open Quantum Materials Database).

Computed properties:
Size of the total moment   0.002 μB per atom
E   -5.701 eV per atom
Space-group type   No. 189

Cell: 7.6123 7.6123 4.0886 Å, 90.00 90.00 120.00°
With the nearest neighbours (Å) after each atom.
Sites, in units of the cell vectors:
Sm: 0.0000 0.4071 0.0000  4 Pd 3.08, 1 Pt 3.10, 6 Sn 3.28-3.40
Sm: 0.4071 0.0000 0.0000  4 Pd 3.08, 1 Pt 3.10, 6 Sn 3.28-3.40
Sm: 0.5929 0.5929 0.0000  4 Pd 3.08, 1 Pt 3.10, 6 Sn 3.28-3.40
Sn: 0.0000 0.7448 0.5000  2 Pt 2.82, 2 Pd 2.88
Sn: 0.2552 0.2552 0.5000  2 Pt 2.82, 2 Pd 2.88
Sn: 0.7448 0.0000 0.5000  2 Pt 2.82, 2 Pd 2.88
Pd: 0.3333 0.6667 0.5000  3 Sn 2.88, 6 Sm 3.08
Pd: 0.6667 0.3333 0.5000  3 Sn 2.88, 6 Sm 3.08
Pt: 0.0000 0.0000 0.0000  6 Sn 2.82, 3 Sm 3.10